Record 1
A plane-wave DFT calculation with PBE-GGA was carried out for a geometry-optimized LaSm4Rh2 structure.

a = 6.7923 Å, b = 9.1960 Å, c = 7.1438 Å
α = 112.58°, β = 90.00°, γ = 90.00°
With the nearest neighbours (Å) after each atom.
Fractional coordinates of all 14 atoms:
Rh (0.2500, 0.6724, 0.6349)  1 La 2.62, 2 Sm 2.88
Rh (0.7500, 0.3276, 0.3651)  1 La 2.62, 2 Sm 2.88
Rh (0.7500, 0.6655, 0.0373)  6 Sm 2.71-2.97
Rh (0.2500, 0.3345, 0.9627)  6 Sm 2.71-2.97
Sm (0.7500, 0.9959, 0.3352)  2 Rh 2.97
Sm (0.9988, 0.4397, 0.7187)  4 Rh 2.86-2.97
Sm (0.4988, 0.5603, 0.2813)  4 Rh 2.86-2.97
Sm (0.0012, 0.5603, 0.2813)  4 Rh 2.86-2.97
Sm (0.5012, 0.4397, 0.7187)  4 Rh 2.86-2.97
Sm (0.2500, 0.0041, 0.6648)  2 Rh 2.97
Sm (0.2500, 0.2083, 0.2486)  1 Rh 2.71
Sm (0.7500, 0.7917, 0.7514)  1 Rh 2.71
La (0.7500, 0.2006, 0.9677)  1 Rh 2.62
La (0.2500, 0.7994, 0.0323)  1 Rh 2.62

Properties
calculated total energy: -5.94 eV per atom
space group: P2_1/m
DOS at the Fermi energy: 1.363 states/eV per atom
total magnetic moment: 0.00 μB/atom

=====

Record 2
A plane-wave DFT calculation with PBE-GGA was carried out for a geometry-optimized LaSm3Rh structure.

a = 3.8941 Å, b = 6.4388 Å, c = 12.8662 Å
α = 85.38°, β = 81.30°, γ = 72.40°
With the nearest neighbours (Å) after each atom.
Fractional coordinates of all 10 atoms:
Rh (0.7813, 0.3163, 0.1210)  4 La 2.84-3.10, 3 Sm 2.91-3.09
Rh (0.4345, 0.3496, 0.7814)  6 Sm 2.86-2.99, 1 La 3.13
Sm (0.7841, 0.0412, 0.3906)  8 Sm 3.57-3.89, 3 La 3.59-3.66, 1 Rh 3.77
Sm (0.4269, 0.6253, 0.5209)  9 Sm 3.57-3.89, 2 La 3.66, 1 Rh 3.66
Sm (0.0993, 0.1741, 0.6274)  2 Rh 2.99
Sm (0.9936, 0.1098, 0.9030)  3 Rh 2.86-3.09
Sm (0.7724, 0.7031, 0.7521)  2 Rh 2.93
Sm (0.4384, 0.9689, 0.1543)  2 Rh 2.91
La (0.2204, 0.5565, 0.0027)  3 Rh 2.84-3.13
La (0.1100, 0.4920, 0.2880)  2 Rh 3.10

Properties
offset from the most stable computed form: 0 meV/atom
calculated total energy: -5.62 eV per atom
space group: Cm
DOS at the Fermi energy: 1.100 states/eV per atom
total magnetic moment: 0.00 μB/atom

=====

Record 3
A plane-wave DFT calculation with PBE-GGA was carried out for a geometry-optimized La2Sm2Rh3 structure.

a = 7.6980 Å, b = 7.6980 Å, c = 7.6980 Å
α = 109.47°, β = 109.47°, γ = 109.47°
With the nearest neighbours (Å) after each atom.
Fractional coordinates of all 14 atoms:
Sm (0.5000, 0.8853, 0.5000)  6 Rh 2.89-3.17
Sm (0.0000, 0.0000, 0.8853)  6 Rh 2.89-3.17
Sm (0.3853, 0.5000, 0.0000)  6 Rh 2.89-3.17
Sm (0.1147, 0.6147, 0.6147)  6 Rh 2.89-3.17
Rh (0.8981, 0.2500, 0.6481)  2 La 2.82, 2 Sm 2.89
Rh (0.6019, 0.7500, 0.8519)  2 La 2.82, 2 Sm 2.89
Rh (0.3519, 0.1019, 0.7500)  2 La 2.82, 2 Sm 2.89
Rh (0.7500, 0.6481, 0.3981)  2 La 2.82, 2 Sm 2.89
Rh (0.2500, 0.8519, 0.1019)  2 La 2.82, 2 Sm 2.89
Rh (0.1481, 0.3981, 0.2500)  2 La 2.82, 2 Sm 2.89
La (0.8835, 0.5000, 0.0000)  3 Rh 2.82
La (0.0000, 0.0000, 0.3835)  3 Rh 2.82
La (0.5000, 0.3835, 0.5000)  3 Rh 2.82
La (0.6165, 0.1165, 0.1165)  3 Rh 2.82

Properties
calculated total energy: -6.61 eV per atom
space group: I2_13
DOS at the Fermi energy: 0.612 states/eV per atom
total magnetic moment: 0.00 μB/atom

=====

Record 4
A plane-wave DFT calculation with PBE-GGA was carried out for a geometry-optimized La4SmRh2 structure.

a = 6.6411 Å, b = 8.3073 Å, c = 8.1624 Å
α = 115.24°, β = 90.00°, γ = 90.00°
With the nearest neighbours (Å) after each atom.
Fractional coordinates of all 14 atoms:
Sm (0.7500, 0.1527, 0.0254)  2 Rh 2.83-3.02
Sm (0.2500, 0.8473, 0.9746)  2 Rh 2.83-3.02
Rh (0.2500, 0.6475, 0.5934)  2 La 2.70-2.90, 1 Sm 2.83
Rh (0.7500, 0.7834, 0.0099)  2 La 2.70-2.77, 1 Sm 3.02
Rh (0.2500, 0.2166, 0.9901)  2 La 2.70-2.77, 1 Sm 3.02
Rh (0.7500, 0.3525, 0.4066)  2 La 2.70-2.90, 1 Sm 2.83
La (0.0062, 0.5864, 0.2162)  4 La 3.19-3.56, 4 Rh 3.26-3.41
La (0.5062, 0.4136, 0.7838)  4 La 3.19-3.56, 4 Rh 3.26-3.41
La (0.4938, 0.5864, 0.2162)  4 La 3.19-3.56, 4 Rh 3.26-3.41
La (0.7500, 0.7261, 0.6587)  2 Rh 2.70-2.90
La (0.7500, 0.0157, 0.3747)  2 Rh 2.70-2.77
La (0.2500, 0.9843, 0.6253)  2 Rh 2.70-2.77
La (0.2500, 0.2739, 0.3413)  2 Rh 2.70-2.90
La (0.9938, 0.4136, 0.7838)  4 La 3.19-3.56, 4 Rh 3.26-3.41

Properties
calculated total energy: -6.00 eV per atom
space group: P2_1/m
DOS at the Fermi energy: 1.066 states/eV per atom
total magnetic moment: 0.00 μB/atom

=====

Record 5
A plane-wave DFT calculation with PBE-GGA was carried out for a geometry-optimized LaSm3Rh structure.

a = 5.5560 Å, b = 5.5560 Å, c = 5.5560 Å
α = 90.00°, β = 90.00°, γ = 90.00°
With the nearest neighbours (Å) after each atom.
Fractional coordinates of all 5 atoms:
La (0.5000, 0.5000, 0.5000)  12 Sm 3.93
Sm (0.0000, 0.0000, 0.5000)  2 Rh 2.78
Sm (0.5000, 0.0000, 0.0000)  2 Rh 2.78
Sm (0.0000, 0.5000, 0.0000)  2 Rh 2.78
Rh (0.0000, 0.0000, 0.0000)  6 Sm 2.78

Properties
offset from the most stable computed form: 137 meV/atom
calculated total energy: -5.48 eV per atom
space group: Pm-3m
DOS at the Fermi energy: 1.564 states/eV per atom
total magnetic moment: 0.30 μB/atom

=====

Record 6
A plane-wave DFT calculation with PBE-GGA was carried out for a geometry-optimized LaSmRh structure.

a = 7.1186 Å, b = 6.6672 Å, c = 7.9267 Å
α = 90.25°, β = 90.00°, γ = 90.00°
With the nearest neighbours (Å) after each atom.
Fractional coordinates of all 12 atoms:
La (0.4189, 0.2407, 0.8842)  3 Rh 2.85-2.88
La (0.5811, 0.7593, 0.1158)  3 Rh 2.85-2.88
La (0.0811, 0.7407, 0.3842)  3 Rh 2.85-2.88
La (0.9189, 0.2593, 0.6158)  3 Rh 2.85-2.88
Sm (0.5758, 0.7428, 0.6160)  3 Rh 2.84-2.87
Sm (0.4242, 0.2572, 0.3840)  3 Rh 2.84-2.87
Sm (0.9242, 0.2428, 0.1160)  3 Rh 2.84-2.87
Sm (0.0758, 0.7572, 0.8840)  3 Rh 2.84-2.87
Rh (0.2497, 0.9973, 0.1414)  3 Sm 2.84-2.87, 3 La 2.85-2.88
Rh (0.7503, 0.0027, 0.8586)  3 Sm 2.84-2.87, 3 La 2.85-2.88
Rh (0.2503, 0.4973, 0.6414)  3 Sm 2.84-2.87, 3 La 2.85-2.88
Rh (0.7497, 0.5027, 0.3587)  3 Sm 2.84-2.87, 3 La 2.85-2.88

Properties
offset from the most stable computed form: 2 meV/atom
calculated total energy: -6.20 eV per atom
space group: P2_1/c
DOS at the Fermi energy: 0.761 states/eV per atom
total magnetic moment: 0.00 μB/atom

=====

Record 7
A plane-wave DFT calculation with PBE-GGA was carried out for a geometry-optimized LaSm4Rh5 structure.

a = 3.5592 Å, b = 3.5592 Å, c = 17.1891 Å
α = 90.00°, β = 90.00°, γ = 90.00°
With the nearest neighbours (Å) after each atom.
Fractional coordinates of all 10 atoms:
Sm (0.0000, 0.0000, 0.2026)  8 Rh 3.04
Sm (0.0000, 0.0000, 0.4009)  8 Rh 3.04
Sm (0.0000, 0.0000, 0.5991)  8 Rh 3.04
Sm (0.0000, 0.0000, 0.7974)  8 Rh 3.04
Rh (0.5000, 0.5000, 0.3019)  8 Sm 3.04
Rh (0.5000, 0.5000, 0.1036)  4 Sm 3.04, 4 La 3.08
Rh (0.5000, 0.5000, 0.8964)  4 Sm 3.04, 4 La 3.08
Rh (0.5000, 0.5000, 0.6981)  8 Sm 3.04
Rh (0.5000, 0.5000, 0.5000)  8 Sm 3.04
La (0.0000, 0.0000, 0.0000)  8 Rh 3.08

Properties
calculated total energy: -6.75 eV per atom
space group: P4/mmm
DOS at the Fermi energy: 0.787 states/eV per atom
total magnetic moment: 0.00 μB/atom

=====

Record 8
A plane-wave DFT calculation with PBE-GGA was carried out for a geometry-optimized La2SmRh2 structure.

a = 5.6721 Å, b = 5.8414 Å, c = 9.0555 Å
α = 90.00°, β = 108.25°, γ = 90.00°
With the nearest neighbours (Å) after each atom.
Fractional coordinates of all 10 atoms:
La (0.5915, 0.7888, 0.1830)  3 Rh 2.84-3.01
La (0.4085, 0.2888, 0.8170)  3 Rh 2.84-3.01
La (0.7448, 0.2227, 0.4895)  5 Rh 2.84-3.03
La (0.2552, 0.7227, 0.5105)  5 Rh 2.84-3.03
Rh (0.2360, 0.2076, 0.4720)  5 La 2.84-3.03, 1 Sm 2.87
Rh (0.9091, 0.3261, 0.8182)  3 Sm 2.83-2.97, 3 La 2.84-2.89
Rh (0.0909, 0.8261, 0.1818)  3 Sm 2.83-2.97, 3 La 2.84-2.89
Rh (0.7640, 0.7076, 0.5280)  5 La 2.84-3.03, 1 Sm 2.87
Sm (0.9262, 0.8209, 0.8524)  4 Rh 2.83-2.97
Sm (0.0738, 0.3209, 0.1476)  4 Rh 2.83-2.97

Properties
calculated total energy: -6.44 eV per atom
space group: Cmc2_1
DOS at the Fermi energy: 0.642 states/eV per atom
total magnetic moment: 0.00 μB/atom

=====

Record 9
A plane-wave DFT calculation with PBE-GGA was carried out for a geometry-optimized LaSmSn2Rh5 structure.

a = 4.3606 Å, b = 4.3606 Å, c = 9.4920 Å
α = 90.00°, β = 90.00°, γ = 90.00°
With the nearest neighbours (Å) after each atom.
Fractional coordinates of all 9 atoms:
La (0.0000, 0.0000, 0.5000)  12 Rh 2.96-3.08
Rh (0.5000, 0.0000, 0.2888)  2 Sn 2.56
Rh (0.0000, 0.5000, 0.7112)  2 Sn 2.56
Rh (0.0000, 0.5000, 0.2888)  2 Sn 2.56
Rh (0.5000, 0.5000, 0.5000)  8 Rh 2.96, 4 La 3.08
Rh (0.5000, 0.0000, 0.7112)  2 Sn 2.56
Sn (0.5000, 0.5000, 0.8523)  4 Rh 2.56, 1 Sn 2.80
Sn (0.5000, 0.5000, 0.1477)  4 Rh 2.56, 1 Sn 2.80
Sm (0.0000, 0.0000, 0.0000)  8 Sn 3.39, 8 Rh 3.50

Properties
calculated total energy: -6.53 eV per atom
space group: P4/mmm
DOS at the Fermi energy: 0.831 states/eV per atom
total magnetic moment: 0.00 μB/atom

=====

Record 10
A plane-wave DFT calculation with PBE-GGA was carried out for a geometry-optimized LaSmTh2Rh4 structure.

a = 5.8030 Å, b = 5.8030 Å, c = 7.1357 Å
α = 116.02°, β = 116.02°, γ = 85.47°
With the nearest neighbours (Å) after each atom.
Fractional coordinates of all 8 atoms:
Rh (0.4067, 0.9938, 0.0000)  2 La 2.87-2.99, 2 Th 2.89, 2 Sm 2.91-2.96
Rh (0.6634, 0.6634, 0.4848)  1 Sm 2.82, 4 Th 2.88-2.92, 1 La 2.95
Rh (0.1787, 0.1787, 0.5152)  1 Sm 2.82, 4 Th 2.88-2.92, 1 La 2.95
Rh (0.9938, 0.4067, 0.0000)  2 La 2.87-2.99, 2 Th 2.89, 2 Sm 2.91-2.96
La (0.9233, 0.9233, 0.0000)  6 Rh 2.87-2.99
Th (0.6743, 0.1743, 0.5000)  6 Rh 2.88-2.92
Th (0.1743, 0.6743, 0.5000)  6 Rh 2.88-2.92
Sm (0.4829, 0.4829, 0.0000)  6 Rh 2.82-2.96

Properties
calculated total energy: -7.49 eV per atom
space group: Fmm2
DOS at the Fermi energy: 0.659 states/eV per atom
total magnetic moment: 0.00 μB/atom

=====

Record 11
A plane-wave DFT calculation with PBE-GGA was carried out for a geometry-optimized LaSmTlRh structure.

a = 5.2976 Å, b = 5.2976 Å, c = 5.2976 Å
α = 60.00°, β = 60.00°, γ = 60.00°
With the nearest neighbours (Å) after each atom.
Fractional coordinates of all 4 atoms:
La (0.0000, 0.0000, 0.0000)  4 Rh 3.24, 4 Tl 3.24
Tl (0.7500, 0.7500, 0.7500)  4 Sm 3.24, 4 La 3.24
Rh (0.2500, 0.2500, 0.2500)  4 La 3.24, 4 Sm 3.24
Sm (0.5000, 0.5000, 0.5000)  4 Tl 3.24, 4 Rh 3.24

Properties
calculated total energy: -5.25 eV per atom
space group: F-43m
DOS at the Fermi energy: 0.905 states/eV per atom
total magnetic moment: 0.00 μB/atom

=====

> Which of these has the lowest calculated total energy?

LaSmTh2Rh4

=====

> Which value of DOS at the Fermi energy does entry 7 give?

0.787 states/eV per atom

=====

> What is the total magnetic moment in the fifth record?

0.30 μB/atom

=====

> Look up the total magnetic moment of the sixth one.

0.00 μB/atom